In2CoF | PBE+U | relaxed

Summary:
Offset from the most stable computed form: 64 meV/atom
Density: 7.744 g cm⁻³
Spin magnetization: 0.00 μB per cell

Structure (POSCAR):
```
In2CoF
1.0
-2.583 -1.624 3.355
-4.159 -1.571 -0.897
-0.849 -4.447 0.259
F Co In
1 1 2
Direct
0.000 0.000 0.000
0.500 0.500 0.500
0.250 0.250 0.250
0.750 0.750 0.750
```